4
Lattice="3.196 0.000 0.000 0.000 4.388 0.000 0.000 0.000 5.409" Properties=species:S:1:pos:R:3 comment="Te2MoOs (SCAN, PBEsol geometry)" dos_ef_per_ev_cell=3.948 e_above_lowest_polymorph_ev_per_atom=0.879 total_magnetization_mub_per_fu=0.000 dft_energy_ev_per_cell=-176.77 pbc="T T T"
Te 0.000 0.000 0.000
Te 1.598 0.000 2.705
Mo 0.000 2.194 2.705
Os 1.598 2.194 0.000


5
Lattice="5.124 0.000 0.000 0.000 5.124 0.000 0.000 0.000 5.124" Properties=species:S:1:pos:R:3 comment="Te3MoOs (SCAN, PBEsol geometry)" dos_ef_per_ev_cell=4.166 total_magnetization_mub_per_fu=1.710 dft_energy_ev_per_cell=-212.38 pbc="T T T"
Te 0.000 0.000 2.562
Te 0.000 2.562 0.000
Te 2.562 0.000 0.000
Mo 2.562 2.562 2.562
Os 0.000 0.000 0.000


4
Lattice="3.163 0.000 0.000 0.000 4.473 0.000 0.000 0.000 4.558" Properties=species:S:1:pos:R:3 comment="TeMo2Os (SCAN, PBEsol geometry)" dos_ef_per_ev_cell=2.630 total_magnetization_mub_per_fu=0.000 dft_energy_ev_per_cell=-176.85 pbc="T T T"
Te 0.000 0.000 0.000
Mo 0.000 2.237 2.279
Mo 1.581 0.000 2.279
Os 1.581 2.237 0.000


5
Lattice="4.707 0.000 0.000 0.000 4.707 0.000 0.000 0.000 4.946" Properties=species:S:1:pos:R:3 comment="Zn2TeMoOs (SCAN, PBEsol geometry)" dos_ef_per_ev_cell=2.823 total_magnetization_mub_per_fu=2.686 dft_energy_ev_per_cell=-162.28 pbc="T T T"
Zn 0.000 2.354 0.000
Zn 2.354 0.000 0.000
Te 0.000 0.000 2.473
Mo 0.000 0.000 0.000
Os 2.354 2.354 2.473


5
Lattice="4.487 0.000 0.000 0.000 4.487 0.000 0.000 0.000 4.487" Properties=species:S:1:pos:R:3 comment="Ti3MoOs (SCAN, PBEsol geometry)" dos_ef_per_ev_cell=6.929 delta_e_f_ev_per_atom=1.1665 total_magnetization_mub_per_fu=0.000 dft_energy_ev_per_cell=-149.02 pbc="T T T"
Ti 0.000 0.000 2.244
Ti 0.000 2.244 0.000
Ti 2.244 0.000 0.000
Mo 0.000 0.000 0.000
Os 2.244 2.244 2.244


4
Lattice="2.845 0.000 0.000 0.000 3.832 0.000 0.000 0.000 5.914" Properties=species:S:1:pos:R:3 comment="TlMoOs2 (SCAN, PBEsol geometry)" dos_ef_per_ev_cell=3.534 delta_e_f_ev_per_atom=0.6574 e_above_lowest_polymorph_ev_per_atom=0.000 total_magnetization_mub_per_fu=0.000 dft_energy_ev_per_cell=-248.37 pbc="T T T"
Tl 0.000 0.000 0.000
Mo 0.000 0.000 2.957
Os 1.423 1.916 1.658
Os 1.423 1.916 4.257


5
Lattice="-1.751 1.751 8.154 1.751 -1.751 8.154 1.751 1.751 -8.154" Properties=species:S:1:pos:R:3 comment="Tl2MoOs2 (SCAN, PBEsol geometry)" dos_ef_per_ev_cell=3.849 delta_e_f_ev_per_atom=1.2846 total_magnetization_mub_per_fu=3.581 dft_energy_ev_per_cell=-316.94 pbc="T T T"
Tl 0.000 0.000 1.694
Tl 0.000 0.000 14.615
Mo 0.000 0.000 8.154
Os 1.751 0.000 4.077
Os 0.000 1.751 4.077


5
Lattice="4.758 0.000 0.000 0.000 4.758 0.000 0.000 0.000 4.758" Properties=species:S:1:pos:R:3 comment="TlMoOs3 (SCAN, PBEsol geometry)" dos_ef_per_ev_cell=3.954 delta_e_f_ev_per_atom=3.5399 total_magnetization_mub_per_fu=1.066 dft_energy_ev_per_cell=-305.18 pbc="T T T"
Tl 0.000 0.000 0.000
Mo 2.379 2.379 2.379
Os 0.000 0.000 2.379
Os 0.000 2.379 0.000
Os 2.379 0.000 0.000


4
Lattice="4.634 -1.431 0.000 4.634 1.431 0.000 -0.923 0.000 4.872" Properties=species:S:1:pos:R:3 comment="TlMoOs2 (SCAN, PBEsol geometry)" dos_ef_per_ev_cell=2.813 delta_e_f_ev_per_atom=0.6654 e_above_lowest_polymorph_ev_per_atom=0.008 total_magnetization_mub_per_fu=0.000 dft_energy_ev_per_cell=-248.34 pbc="T T T"
Tl 0.000 0.000 0.000
Mo 4.172 0.000 2.436
Os 1.525 0.000 3.473
Os 6.819 0.000 1.399


4
Lattice="0.000 3.172 3.172 3.172 0.000 3.172 3.172 3.172 0.000" Properties=species:S:1:pos:R:3 comment="TlMoOs2 (SCAN, PBEsol geometry)" dos_ef_per_ev_cell=4.921 delta_e_f_ev_per_atom=1.0028 e_above_lowest_polymorph_ev_per_atom=0.345 total_magnetization_mub_per_fu=0.003 dft_energy_ev_per_cell=-246.99 pbc="T T T"
Tl 0.000 0.000 0.000
Mo 1.586 1.586 1.586
Os 3.172 3.172 3.172
Os 4.759 4.759 4.759


4
Lattice="-1.931 1.931 4.232 1.931 -1.931 4.232 1.931 1.931 -4.232" Properties=species:S:1:pos:R:3 comment="TlMoOs2 (SCAN, PBEsol geometry)" dos_ef_per_ev_cell=3.753 delta_e_f_ev_per_atom=0.8208 e_above_lowest_polymorph_ev_per_atom=0.163 total_magnetization_mub_per_fu=0.000 dft_energy_ev_per_cell=-247.72 pbc="T T T"
Tl 0.000 0.000 0.000
Mo 0.000 1.931 2.116
Os 1.931 0.000 2.116
Os 0.000 0.000 4.232


4
Lattice="3.117 0.000 0.000 0.000 3.117 0.000 0.000 0.000 6.228" Properties=species:S:1:pos:R:3 comment="Mo2OsW (SCAN, PBEsol geometry)" dos_ef_per_ev_cell=3.440 delta_e_f_ev_per_atom=0.1393 e_above_lowest_polymorph_ev_per_atom=0.051 total_magnetization_mub_per_fu=0.000 dft_energy_ev_per_cell=-210.78 pbc="T T T"
Mo 0.000 0.000 0.000
Mo 1.558 1.558 1.457
Os 0.000 0.000 3.130
W 1.558 1.558 4.664


4
Lattice="3.100 0.000 0.000 0.000 4.396 0.000 0.000 0.000 4.429" Properties=species:S:1:pos:R:3 comment="Mo2OsW (SCAN, PBEsol geometry)" dos_ef_per_ev_cell=3.856 delta_e_f_ev_per_atom=0.1239 e_above_lowest_polymorph_ev_per_atom=0.036 total_magnetization_mub_per_fu=0.000 dft_energy_ev_per_cell=-210.84 pbc="T T T"
Mo 0.000 0.000 0.000
Mo 1.550 2.198 0.000
Os 0.000 2.198 2.214
W 1.550 0.000 2.214


3
Lattice="-1.388 1.936 4.206 1.388 -1.936 4.206 1.388 1.936 -4.206" Properties=species:S:1:pos:R:3 comment="MoOsW (SCAN, PBEsol geometry)" dos_ef_per_ev_cell=2.542 delta_e_f_ev_per_atom=0.2136 total_magnetization_mub_per_fu=0.000 dft_energy_ev_per_cell=-175.81 pbc="T T T"
Mo 0.000 0.000 0.000
Os 0.000 0.000 5.569
W 0.000 0.000 2.733


4
Lattice="-1.559 2.199 4.408 1.559 -2.199 4.408 1.559 2.199 -4.408" Properties=species:S:1:pos:R:3 comment="Mo2OsW (SCAN, PBEsol geometry)" dos_ef_per_ev_cell=2.697 delta_e_f_ev_per_atom=0.0880 e_above_lowest_polymorph_ev_per_atom=0.000 total_magnetization_mub_per_fu=0.000 dft_energy_ev_per_cell=-210.99 pbc="T T T"
Mo 0.000 0.000 2.118
Mo 0.000 0.000 6.697
Os 0.000 2.199 0.000
W 1.559 0.000 0.000


4
Lattice="1.376 0.794 9.297 -1.376 0.794 9.297 0.000 -1.588 9.297" Properties=species:S:1:pos:R:3 comment="Mo2OsW (SCAN, PBEsol geometry)" dos_ef_per_ev_cell=3.331 delta_e_f_ev_per_atom=0.3017 e_above_lowest_polymorph_ev_per_atom=0.214 total_magnetization_mub_per_fu=0.000 dft_energy_ev_per_cell=-210.13 pbc="T T T"
Mo 0.000 0.000 0.000
Mo 0.000 0.000 6.875
Os 0.000 0.000 20.804
W 0.000 0.000 13.741


5
Lattice="-2.138 2.138 5.164 2.138 -2.138 5.164 2.138 2.138 -5.164" Properties=species:S:1:pos:R:3 comment="YMo2Os2 (SCAN, PBEsol geometry)" dos_ef_per_ev_cell=3.801 delta_e_f_ev_per_atom=-0.2165 total_magnetization_mub_per_fu=0.000 dft_energy_ev_per_cell=-242.46 pbc="T T T"
Y 0.000 0.000 0.000
Mo 2.138 0.000 2.582
Mo 0.000 2.138 2.582
Os 0.000 0.000 3.897
Os 0.000 0.000 6.431


4
Lattice="2.972 -4.548 0.000 2.972 4.548 0.000 -1.110 0.000 2.826" Properties=species:S:1:pos:R:3 comment="Y2MoOs (SCAN, PBEsol geometry)" dos_ef_per_ev_cell=3.644 delta_e_f_ev_per_atom=0.4279 total_magnetization_mub_per_fu=0.000 dft_energy_ev_per_cell=-160.74 pbc="T T T"
Y 1.486 2.274 0.000
Y 1.486 -2.274 0.000
Mo -0.555 0.000 1.413
Os 2.417 0.000 1.413


4
Lattice="-1.550 2.096 4.325 1.550 -2.096 4.325 1.550 2.096 -4.325" Properties=species:S:1:pos:R:3 comment="ZnMoOs2 (SCAN, PBEsol geometry)" dos_ef_per_ev_cell=2.178 delta_e_f_ev_per_atom=0.1981 total_magnetization_mub_per_fu=0.000 dft_energy_ev_per_cell=-191.37 pbc="T T T"
Zn 0.000 0.000 0.000
Mo 1.550 0.000 2.168
Os 0.000 0.000 4.334
Os 0.000 2.096 2.224


4
Lattice="0.000 3.165 3.165 3.165 0.000 3.165 3.165 3.165 0.000" Properties=species:S:1:pos:R:3 comment="ZrMoOs2 (SCAN, PBEsol geometry)" dos_ef_per_ev_cell=4.070 delta_e_f_ev_per_atom=-0.0751 e_above_lowest_polymorph_ev_per_atom=0.000 total_magnetization_mub_per_fu=0.000 dft_energy_ev_per_cell=-209.64 pbc="T T T"
Zr 0.000 0.000 0.000
Mo 3.165 3.165 3.165
Os 1.582 1.582 1.582
Os 4.747 4.747 4.747


4
Lattice="4.815 -1.429 0.000 4.815 1.429 0.000 -0.882 0.000 4.647" Properties=species:S:1:pos:R:3 comment="ZrMoOs2 (SCAN, PBEsol geometry)" dos_ef_per_ev_cell=2.884 delta_e_f_ev_per_atom=-0.0241 e_above_lowest_polymorph_ev_per_atom=0.051 total_magnetization_mub_per_fu=0.000 dft_energy_ev_per_cell=-209.44 pbc="T T T"
Zr 0.000 0.000 0.000
Mo 1.521 0.000 3.171
Os 4.192 0.000 2.297
Os 7.127 0.000 1.030


5
Lattice="1.458 0.842 9.622 -1.458 0.842 9.622 0.000 -1.684 9.622" Properties=species:S:1:pos:R:3 comment="Mo3P2 (SCAN, PBEsol geometry)" dos_ef_per_ev_cell=3.710 delta_e_f_ev_per_atom=0.0420 total_magnetization_mub_per_fu=0.000 dft_energy_ev_per_cell=-125.24 pbc="T T T"
Mo 0.000 0.000 0.000
Mo 0.000 0.000 5.931
Mo 0.000 0.000 22.935
P 0.000 0.000 11.498
P 0.000 0.000 17.368


5
Lattice="-2.754 2.754 2.754 2.754 -2.754 2.754 2.754 2.754 -2.754" Properties=species:S:1:pos:R:3 comment="Mo4P (SCAN, PBEsol geometry)" dos_ef_per_ev_cell=5.451 delta_e_f_ev_per_atom=0.8027 total_magnetization_mub_per_fu=0.000 dft_energy_ev_per_cell=-145.93 pbc="T T T"
Mo 1.377 1.377 -1.377
Mo 1.377 -1.377 1.377
Mo -1.377 1.377 1.377
Mo 1.377 1.377 1.377
P 0.000 0.000 0.000


4
Lattice="3.248 0.000 0.000 0.000 4.259 0.000 0.000 0.000 4.997" Properties=species:S:1:pos:R:3 comment="MoP2Pb (SCAN, PBEsol geometry)" dos_ef_per_ev_cell=3.265 delta_e_f_ev_per_atom=0.8352 total_magnetization_mub_per_fu=0.001 dft_energy_ev_per_cell=-128.12 pbc="T T T"
Mo 0.000 0.000 0.000
P 1.624 0.000 2.498
P 1.624 2.129 0.000
Pb 0.000 2.129 2.498


4
Lattice="1.586 0.916 9.606 -1.586 0.916 9.606 0.000 -1.831 9.606" Properties=species:S:1:pos:R:3 comment="MoPPb2 (SCAN, PBEsol geometry)" dos_ef_per_ev_cell=3.519 delta_e_f_ev_per_atom=0.9342 total_magnetization_mub_per_fu=0.001 dft_energy_ev_per_cell=-193.11 pbc="T T T"
Mo 0.000 0.000 0.000
P 0.000 0.000 14.410
Pb 0.000 0.000 7.308
Pb 0.000 0.000 21.512


4
Lattice="-1.822 2.465 4.483 1.822 -2.465 4.483 1.822 2.465 -4.483" Properties=species:S:1:pos:R:3 comment="MoPPb2 (SCAN, PBEsol geometry)" dos_ef_per_ev_cell=2.455 delta_e_f_ev_per_atom=0.8474 total_magnetization_mub_per_fu=1.720 dft_energy_ev_per_cell=-193.46 pbc="T T T"
Mo 0.000 0.000 0.000
P 0.000 0.000 4.483
Pb 1.822 0.000 2.358
Pb 0.000 2.465 2.125


4
Lattice="4.188 0.000 0.000 0.000 1.979 5.023 0.000 -1.979 5.023" Properties=species:S:1:pos:R:3 comment="MoPPb2 (SCAN, PBEsol geometry)" dos_ef_per_ev_cell=1.721 delta_e_f_ev_per_atom=0.2733 total_magnetization_mub_per_fu=0.000 dft_energy_ev_per_cell=-195.75 pbc="T T T"
Mo 0.000 0.000 0.000
P 2.094 0.000 8.839
Pb 0.000 0.000 2.914
Pb 2.094 0.000 6.008


5
Lattice="4.633 0.000 0.000 0.000 4.633 0.000 0.000 0.000 4.506" Properties=species:S:1:pos:R:3 comment="MoP2PdS (SCAN, PBEsol geometry)" dos_ef_per_ev_cell=3.271 total_magnetization_mub_per_fu=0.000 dft_energy_ev_per_cell=-95.07 pbc="T T T"
Mo 0.000 0.000 0.000
P 0.000 2.317 0.000
P 2.317 0.000 0.000
Pd 2.317 2.317 2.253
S 0.000 0.000 2.253


4
Lattice="2.798 0.000 0.000 0.000 4.141 0.000 -1.331 0.000 5.001" Properties=species:S:1:pos:R:3 comment="MoPPt2 (SCAN, PBEsol geometry)" dos_ef_per_ev_cell=2.635 delta_e_f_ev_per_atom=-0.1373 total_magnetization_mub_per_fu=0.000 dft_energy_ev_per_cell=-186.22 pbc="T T T"
Mo 0.000 0.000 0.000
P 0.734 0.000 2.500
Pt 0.124 2.071 3.712
Pt 1.344 2.071 1.289


4
Lattice="1.675 -2.185 0.000 1.675 2.185 0.000 0.000 0.000 7.997" Properties=species:S:1:pos:R:3 comment="Mo2PPt (SCAN, PBEsol geometry)" dos_ef_per_ev_cell=2.495 delta_e_f_ev_per_atom=0.1073 total_magnetization_mub_per_fu=0.000 dft_energy_ev_per_cell=-149.93 pbc="T T T"
Mo 0.000 0.000 0.000
Mo 1.675 0.000 2.127
P 1.675 0.000 6.174
Pt 0.000 0.000 4.254